a.
Density functional theory data (PBE-GGA) for an optimized crystal structure of LaZr.

SG: Amm2 (38)

Cell lengths 5.506, 6.031, 6.031 Å; angles 119.12, 90.00, 90.00 degrees
Element x y z (fractional)
La (0.000, 0.000, 0.000)
La (0.500, 0.631, 0.995)
La (0.500, 0.995, 0.631)
Zr (0.000, 0.311, 0.612)
Zr (0.000, 0.612, 0.311)
Zr (0.500, 0.364, 0.364)

b.
Density functional theory data (PBE-GGA) for an optimized crystal structure of LaZr.

SG: P4_2/mnm (136)

Cell lengths 6.246, 6.246, 6.439 Å; angles 90.00, 90.00, 90.00 degrees
Element x y z (fractional)
La (0.178, 0.178, 0.000)
La (0.322, 0.678, 0.500)
La (0.678, 0.322, 0.500)
La (0.822, 0.822, 0.000)
Zr (0.162, 0.162, 0.500)
Zr (0.338, 0.662, 0.000)
Zr (0.662, 0.338, 0.000)
Zr (0.838, 0.838, 0.500)

In terms of stability, a leads; the second structure lies 497 meV per atom higher.

a.
Density functional theory data (PBE-GGA) for an optimized crystal structure of LaZr.

SG: P6_3/mmc (194)

Cell lengths 5.575, 5.575, 8.607 Å; angles 90.00, 90.00, 120.00 degrees
Element x y z (fractional)
La (0.000, 0.000, 0.250)
La (0.000, 0.000, 0.750)
La (0.333, 0.667, 0.250)
La (0.667, 0.333, 0.750)
Zr (0.333, 0.667, 0.581)
Zr (0.333, 0.667, 0.919)
Zr (0.667, 0.333, 0.081)
Zr (0.667, 0.333, 0.419)

b.
Density functional theory data (PBE-GGA) for an optimized crystal structure of LaZr.

SG: R-3m (166)

Cell lengths 11.403, 11.403, 11.403 Å; angles 17.20, 17.20, 17.20 degrees
Element x y z (fractional)
La (0.120, 0.120, 0.120)
La (0.880, 0.880, 0.880)
Zr (0.370, 0.370, 0.370)
Zr (0.630, 0.630, 0.630)

c.
Density functional theory data (PBE-GGA) for an optimized crystal structure of LaZr.

SG: P4/nmm (129)

Cell lengths 3.919, 3.919, 7.726 Å; angles 90.00, 90.00, 90.00 degrees
Element x y z (fractional)
La (0.250, 0.250, 0.159)
La (0.750, 0.750, 0.841)
Zr (0.250, 0.250, 0.580)
Zr (0.750, 0.750, 0.420)

In terms of stability, c leads; the second structure lies 28 meV per atom higher.

a.
Density functional theory data (PBE-GGA) for an optimized crystal structure of LaZr.

SG: P6_3/mmc (194)

Cell lengths 5.588, 5.588, 5.911 Å; angles 90.00, 90.00, 120.00 degrees
Element x y z (fractional)
La (0.333, 0.667, 0.250)
La (0.667, 0.333, 0.750)
Zr (0.333, 0.667, 0.750)
Zr (0.667, 0.333, 0.250)

b.
Density functional theory data (PBE-GGA) for an optimized crystal structure of LaZr.

SG: I4/m (87)

Cell lengths 8.784, 8.784, 8.784 Å; angles 91.97, 91.97, 158.62 degrees
Element x y z (fractional)
La (0.110, 0.674, 0.784)
La (0.326, 0.110, 0.437)
La (0.674, 0.890, 0.563)
La (0.890, 0.326, 0.216)
Zr (0.074, 0.153, 0.227)
Zr (0.153, 0.926, 0.079)
Zr (0.847, 0.074, 0.921)
Zr (0.926, 0.847, 0.773)

c.
Density functional theory data (PBE-GGA) for an optimized crystal structure of LaZr.

SG: Fd-3m (227)

Cell lengths 5.421, 5.421, 5.421 Å; angles 60.00, 60.00, 60.00 degrees
Element x y z (fractional)
La (0.125, 0.125, 0.125)
La (0.875, 0.875, 0.875)
Zr (0.375, 0.375, 0.375)
Zr (0.625, 0.625, 0.625)

In terms of stability, c leads; the second structure lies 118 meV per atom higher.

a.
Density functional theory data (PBE-GGA) for an optimized crystal structure of LaZr.

SG: Pmmn (59)

Cell lengths 3.407, 16.833, 5.945 Å; angles 90.00, 90.00, 90.00 degrees
Element x y z (fractional)
La (0.250, 0.086, 0.080)
La (0.250, 0.414, 0.080)
La (0.250, 0.750, 0.725)
La (0.750, 0.250, 0.275)
La (0.750, 0.586, 0.920)
La (0.750, 0.914, 0.920)
Zr (0.250, 0.250, 0.740)
Zr (0.250, 0.576, 0.417)
Zr (0.250, 0.924, 0.417)
Zr (0.750, 0.076, 0.583)
Zr (0.750, 0.424, 0.583)
Zr (0.750, 0.750, 0.260)

b.
Density functional theory data (PBE-GGA) for an optimized crystal structure of LaZr.

SG: Cm (8)

Cell lengths 3.429, 3.429, 11.278 Å; angles 90.01, 90.01, 59.93 degrees
Element x y z (fractional)
La (0.000, 0.000, 0.000)
La (0.666, 0.666, 0.709)
Zr (0.335, 0.335, 0.463)
Zr (0.667, 0.667, 0.247)

In terms of stability, b leads; the second structure lies 62 meV per atom higher.

a.
Density functional theory data (PBE-GGA) for an optimized crystal structure of La2Zr3.

SG: Fdd2 (43)

Cell lengths 8.541, 6.478, 9.759 Å; angles 59.46, 40.79, 79.75 degrees
Element x y z (fractional)
La (0.005, 0.495, 0.104)
La (0.146, 0.854, 0.245)
La (0.495, 0.005, 0.396)
La (0.854, 0.146, 0.755)
Zr (0.109, 0.109, 0.891)
Zr (0.359, 0.359, 0.141)
Zr (0.450, 0.552, 0.338)
Zr (0.552, 0.450, 0.661)
Zr (0.589, 0.912, 0.698)
Zr (0.912, 0.589, 0.800)

b.
Density functional theory data (PBE-GGA) for an optimized crystal structure of La2Zr3.

SG: P-3m1 (164)

Cell lengths 5.176, 5.176, 6.278 Å; angles 90.00, 90.00, 120.00 degrees
Element x y z (fractional)
La (0.333, 0.667, 0.340)
La (0.667, 0.333, 0.660)
Zr (0.000, 0.000, 0.500)
Zr (0.333, 0.667, 0.867)
Zr (0.667, 0.333, 0.133)

In terms of stability, a leads; the second structure lies 516 meV per atom higher.

a.
Density functional theory data (PBE-GGA) for an optimized crystal structure of LaZr2.

SG: Pnma (62)

Cell lengths 6.720, 4.693, 10.050 Å; angles 90.00, 90.00, 90.00 degrees
Element x y z (fractional)
La (0.123, 0.250, 0.082)
La (0.377, 0.750, 0.582)
La (0.623, 0.250, 0.418)
La (0.877, 0.750, 0.918)
Zr (0.113, 0.250, 0.414)
Zr (0.121, 0.250, 0.741)
Zr (0.379, 0.750, 0.241)
Zr (0.387, 0.750, 0.914)
Zr (0.613, 0.250, 0.086)
Zr (0.621, 0.250, 0.759)
Zr (0.879, 0.750, 0.259)
Zr (0.887, 0.750, 0.586)

b.
Density functional theory data (PBE-GGA) for an optimized crystal structure of LaZr2.

SG: I4_1/amd (141)

Cell lengths 9.618, 9.618, 9.618 Å; angles 153.54, 153.54, 37.77 degrees
Element x y z (fractional)
La (0.375, 0.625, 0.750)
La (0.625, 0.375, 0.250)
Zr (0.047, 0.797, 0.250)
Zr (0.203, 0.953, 0.250)
Zr (0.797, 0.047, 0.750)
Zr (0.953, 0.203, 0.750)

In terms of stability, a leads; the second structure lies 379 meV per atom higher.

a.
Density functional theory data (PBE-GGA) for an optimized crystal structure of LaZr2.

SG: I4/mcm (140)

Cell lengths 5.880, 5.880, 5.880 Å; angles 107.99, 107.99, 112.47 degrees
Element x y z (fractional)
La (0.250, 0.250, 0.000)
La (0.750, 0.750, 0.000)
Zr (0.154, 0.654, 0.808)
Zr (0.346, 0.154, 0.500)
Zr (0.654, 0.846, 0.500)
Zr (0.846, 0.346, 0.192)

b.
Density functional theory data (PBE-GGA) for an optimized crystal structure of LaZr2.

SG: Cmcm (63)

Cell lengths 9.129, 9.129, 5.407 Å; angles 90.00, 90.00, 159.19 degrees
Element x y z (fractional)
La (0.216, 0.784, 0.750)
La (0.784, 0.216, 0.250)
Zr (0.099, 0.901, 0.250)
Zr (0.451, 0.549, 0.250)
Zr (0.549, 0.451, 0.750)
Zr (0.901, 0.099, 0.750)

In terms of stability, b leads; the second structure lies 448 meV per atom higher.

a.
Density functional theory data (PBE-GGA) for an optimized crystal structure of LaZr2.

SG: P4/mmm (123)

Cell lengths 5.258, 5.258, 3.283 Å; angles 90.00, 90.00, 90.00 degrees
Element x y z (fractional)
La (0.000, 0.000, 0.000)
Zr (0.000, 0.500, 0.500)
Zr (0.500, 0.000, 0.500)

b.
Density functional theory data (PBE-GGA) for an optimized crystal structure of LaZr2.

SG: P-3m1 (164)

Cell lengths 3.328, 3.328, 8.231 Å; angles 90.00, 90.00, 120.00 degrees
Element x y z (fractional)
La (0.000, 0.000, 0.000)
Zr (0.333, 0.667, 0.651)
Zr (0.667, 0.333, 0.349)

c.
Density functional theory data (PBE-GGA) for an optimized crystal structure of LaZr2.

SG: P6_3/mmc (194)

Cell lengths 5.294, 5.294, 6.578 Å; angles 90.00, 90.00, 120.00 degrees
Element x y z (fractional)
La (0.333, 0.667, 0.250)
La (0.667, 0.333, 0.750)
Zr (0.000, 0.000, 0.000)
Zr (0.000, 0.000, 0.500)
Zr (0.333, 0.667, 0.750)
Zr (0.667, 0.333, 0.250)

d.
Density functional theory data (PBE-GGA) for an optimized crystal structure of LaZr2.

SG: Pnnm (58)

Cell lengths 3.144, 9.210, 5.420 Å; angles 90.00, 90.00, 90.00 degrees
Element x y z (fractional)
La (0.000, 0.000, 0.000)
La (0.500, 0.500, 0.500)
Zr (0.005, 0.184, 0.500)
Zr (0.495, 0.684, 0.000)
Zr (0.505, 0.316, 0.000)
Zr (0.995, 0.816, 0.500)

In terms of stability, b leads; the second structure lies 70 meV per atom higher.